1.
VASP calculation (PBE) on a relaxed Ac4ZnCd crystal.

Lattice parameters (Å, degrees): 3.9990 3.9990 13.7225 90.00 90.00 90.00
Element x y z (fractional)
1 Ac 0.0000 0.0000 0.1381
2 Ac 0.0000 0.0000 0.8619
3 Ac 0.5000 0.5000 0.3487
4 Ac 0.5000 0.5000 0.6513
5 Zn 0.5000 0.5000 0.0000
6 Cd 0.0000 0.0000 0.5000

## Properties
formation enthalpy at 0 K	-0.1719	eV per atom
space group	P4/mmm, No. 123
relative energy among the computed polymorphs	0.000	eV/atom
mass density	8.216	Mg/m³


2.
VASP calculation (PBE) on a relaxed AcZr2Cd crystal.

Lattice parameters (Å, degrees): 3.2825 3.2825 34.9219 90.00 90.00 120.00
Element x y z (fractional)
1 Ac 0.0000 0.0000 0.0000
2 Ac 0.3333 0.6667 0.6667
3 Ac 0.6667 0.3333 0.3333
4 Zr 0.0000 0.0000 0.0939
5 Zr 0.0000 0.0000 0.9061
6 Zr 0.3333 0.6667 0.5728
7 Zr 0.3333 0.6667 0.7606
8 Zr 0.6667 0.3333 0.2394
9 Zr 0.6667 0.3333 0.4272
10 Cd 0.0000 0.0000 0.5000
11 Cd 0.3333 0.6667 0.1667
12 Cd 0.6667 0.3333 0.8333

## Properties
formation enthalpy at 0 K	0.4150	eV per atom
space group	R-3m, No. 166
mass density	7.978	Mg/m³